1.
First-principles (PBE) data for an optimized crystal structure of Mg4InPd, as listed in Alexandria.

a = 6.7711 Å, b = 6.7711 Å, c = 7.4234 Å
α = 62.83°, β = 62.83°, γ = 89.98°
Sites, in units of the cell vectors:
Mg 0.0230 0.1945 0.2830
Mg 0.1947 0.6947 0.2832
Mg 0.5231 0.0231 0.2832
Mg 0.4769 0.9769 0.7168
Mg 0.8053 0.3053 0.7168
Mg 0.9770 0.8055 0.7170
Mg 0.3055 0.4770 0.7170
Mg 0.6945 0.5230 0.2830
In 0.5000 0.5000 0.0000
In 0.0000 0.0000 0.0000
Pd 0.7500 0.7500 0.5000
Pd 0.2500 0.2500 0.5000

formation enthalpy at 0 K: -0.284 eV per atom
magnetic moment: 0.00 μB per formula unit



2.
First-principles (PBE) data for an optimized crystal structure of Mg8In2Pd, as listed in Alexandria.

a = 4.5813 Å, b = 4.5810 Å, c = 11.9697 Å
α = 101.09°, β = 101.03°, γ = 90.00°
Sites, in units of the cell vectors:
Mg 0.5637 0.5628 0.1273
Mg 0.3458 0.8453 0.6916
Mg 0.2500 0.2498 0.5000
Mg 0.0637 0.0624 0.1274
Mg 0.7500 0.7502 0.5000
Mg 0.6542 0.1547 0.3084
Mg 0.4363 0.4372 0.8727
Mg 0.9363 0.9376 0.8726
In 0.1597 0.6604 0.3194
In 0.8403 0.3396 0.6806
Pd 0.5000 0.0000 0.0000

formation enthalpy at 0 K: -0.202 eV per atom
magnetic moment: 0.00 μB per formula unit



3.
First-principles (PBE) data for an optimized crystal structure of Mg8In6Pd, as listed in Alexandria.

a = 8.2991 Å, b = 8.2991 Å, c = 7.8424 Å
α = 58.05°, β = 58.05°, γ = 60.00°
Sites, in units of the cell vectors:
Mg 0.5277 0.2344 0.3473
Mg 0.7656 0.1094 0.6527
Mg 0.1094 0.4723 0.6527
Mg 0.6676 0.6676 0.9972
Mg 0.3324 0.3324 0.0028
Mg 0.8906 0.5277 0.3473
Mg 0.2344 0.8906 0.3473
Mg 0.4723 0.7656 0.6527
In 0.3668 0.0611 0.8284
In 0.9389 0.2563 0.1716
In 0.2563 0.6332 0.1716
In 0.7437 0.3668 0.8284
In 0.0611 0.7437 0.8284
In 0.6332 0.9389 0.1716
Pd 0.0000 0.0000 0.0000

formation enthalpy at 0 K: -0.043 eV per atom
magnetic moment: 0.00 μB per formula unit



4.
First-principles (PBE) data for an optimized crystal structure of MgInPd3, as listed in Alexandria.

a = 5.5868 Å, b = 7.4423 Å, c = 8.6322 Å
α = 89.67°, β = 90.00°, γ = 90.00°
Sites, in units of the cell vectors:
Mg 0.7500 0.6359 0.1242
Mg 0.2500 0.3641 0.8758
Mg 0.2500 0.3641 0.3758
Mg 0.7500 0.6359 0.6242
In 0.2499 0.9382 0.6231
In 0.7501 0.0618 0.3769
In 0.7499 0.0618 0.8769
In 0.2501 0.9382 0.1231
Pd 0.0065 0.7542 0.3739
Pd 0.9935 0.2458 0.6261
Pd 0.5065 0.2458 0.1261
Pd 0.4935 0.7542 0.8739
Pd 0.4935 0.7543 0.3739
Pd 0.5065 0.2457 0.6261
Pd 0.9935 0.2457 0.1261
Pd 0.0065 0.7543 0.8739
Pd 0.2500 0.5748 0.6248
Pd 0.7500 0.4252 0.3752
Pd 0.7500 0.4252 0.8752
Pd 0.2500 0.5748 0.1248

formation enthalpy at 0 K: -0.532 eV per atom
magnetic moment: 0.00 μB per formula unit



Which value of formation enthalpy at 0 K does entry 2 give? -0.202 eV per atom



Number 4 is which compound? MgInPd3



Look up the magnetic moment of the third one. 0.00 μB per formula unit